# AlZn2NO2 (GGA-PBE, optimized geometry)
# Total magnetic moment: 0.000 μB per atom
# Raw formation energy: -143.0 kJ per mole of atoms
# Crystal system: orthorhombic
# Density of states at the Fermi level: 0.0 states/eV/f.u.
data_AlZn2NO2
_chemical_formula_sum 'Al4 Zn8 N4 O8'
_cell_length_a 9.604
_cell_length_b 5.601
_cell_length_c 5.232
_cell_angle_alpha 90.00
_cell_angle_beta 90.00
_cell_angle_gamma 90.00
_symmetry_space_group_name_H-M 'C m c 21'
_symmetry_Int_Tables_number 36
loop_
_symmetry_equiv_pos_as_xyz
'x,y,z'
'-x,-y,z+1/2'
'-x,y,z'
'x,-y,z+1/2'
'x+1/2,y+1/2,z'
'-x+1/2,-y+1/2,z+1/2'
'-x+1/2,y+1/2,z'
'x+1/2,-y+1/2,z+1/2'
loop_
_atom_site_label
_atom_site_type_symbol
_atom_site_fract_x
_atom_site_fract_y
_atom_site_fract_z
Al1 Al 0.000 0.160 0.000
Zn1 Zn 0.159 0.323 0.496
N1 N 0.000 0.143 0.355
O1 O 0.154 0.324 0.893